(1)
Pm14ErTl | Alexandria via LeMat-Bulk | PBE-GGA | relaxed; mass density = 7501 kg/m³; DOS at the Fermi energy = 20.90 states/eV per cell; calculated formation energy = -23.1 meV per atom; SG = P4/mmm; calculated total energy = -4.61 eV per atom
1.0
7.1973 0.0000 0.0000
0.0000 7.1973 0.0000
0.0000 0.0000 10.2634
Pm Er Tl
14 1 1
Direct
0.0000 0.0000 0.0000
0.0000 0.5000 0.0000
0.0000 0.5000 0.5000
0.2504 0.2504 0.2543
0.2504 0.2504 0.7457
0.2504 0.7496 0.2543
0.2504 0.7496 0.7457
0.5000 0.0000 0.0000
0.5000 0.0000 0.5000
0.5000 0.5000 0.0000
0.7496 0.2504 0.2543
0.7496 0.2504 0.7457
0.7496 0.7496 0.2543
0.7496 0.7496 0.7457
0.0000 0.0000 0.5000
0.5000 0.5000 0.5000

***

(2)
PmEr6Tl | Alexandria via LeMat-Bulk | PBE-GGA | relaxed; distance to the lowest polymorph of the same formula = 43.9 meV per atom; mass density = 9401 kg/m³; DOS at the Fermi energy = 13.26 states/eV per cell; calculated formation energy = -19.5 meV per atom; SG = Cmmm; calculated total energy = -4.33 eV per atom
1.0
4.9045 -4.9108 0.0000
4.9045 4.9108 0.0000
0.0000 0.0000 4.9610
Pm Er Tl
1 6 1
Direct
0.0000 0.0000 0.0000
0.0000 0.5000 0.0000
0.2482 0.7518 0.5000
0.2489 0.2489 0.5000
0.5000 0.0000 0.0000
0.7511 0.7511 0.5000
0.7518 0.2482 0.5000
0.5000 0.5000 0.0000

***

What did the second record say?
PmEr6Tl | Alexandria via LeMat-Bulk | PBE-GGA | relaxed; distance to the lowest polymorph of the same formula = 43.9 meV per atom; mass density = 9401 kg/m³; DOS at the Fermi energy = 13.26 states/eV per cell; calculated formation energy = -19.5 meV per atom; SG = Cmmm; calculated total energy = -4.33 eV per atom
1.0
4.9045 -4.9108 0.0000
4.9045 4.9108 0.0000
0.0000 0.0000 4.9610
Pm Er Tl
1 6 1
Direct
0.0000 0.0000 0.0000
0.0000 0.5000 0.0000
0.2482 0.7518 0.5000
0.2489 0.2489 0.5000
0.5000 0.0000 0.0000
0.7511 0.7511 0.5000
0.7518 0.2482 0.5000
0.5000 0.5000 0.0000